Arrangement 1

Compound: PuZrSc
Source: Alexandria via LeMat-Bulk
Functional: GGA-PBE
Structure: optimized geometry

CIF file:
```
data_PuZrSc
_symmetry_space_group_name_H-M 'P 1'
_symmetry_Int_Tables_number 1
_cell_length_a 3.118
_cell_length_b 5.125
_cell_length_c 5.125
_cell_angle_alpha 120.00
_cell_angle_beta 90.00
_cell_angle_gamma 90.00
loop_
_symmetry_equiv_pos_as_xyz
'x,y,z'
loop_
_atom_site_label
_atom_site_fract_x
_atom_site_fract_y
_atom_site_fract_z
Zr1 0.167 0.000 0.000
Pu1 0.166 0.333 0.667
Sc1 0.667 0.667 0.333
```

---

Arrangement 2

Compound: PuZrSc
Source: Alexandria via LeMat-Bulk
Functional: GGA-PBE
Structure: optimized geometry

CIF file:
```
data_PuZrSc
_symmetry_space_group_name_H-M 'P 1'
_symmetry_Int_Tables_number 1
_cell_length_a 5.995
_cell_length_b 5.995
_cell_length_c 5.152
_cell_angle_alpha 64.57
_cell_angle_beta 64.57
_cell_angle_gamma 64.41
loop_
_symmetry_equiv_pos_as_xyz
'x,y,z'
loop_
_atom_site_label
_atom_site_fract_x
_atom_site_fract_y
_atom_site_fract_z
Pu1 0.836 0.836 0.664
Pu2 0.164 0.164 0.336
Sc1 0.744 0.256 0.000
Sc2 0.256 0.744 0.000
Zr1 0.670 0.670 0.330
Zr2 0.330 0.330 0.670
```

---

Which one is most stable, and which one is least stable? arrangement 1 is the most stable of them, while arrangement 2 is the least stable.